# 1
Here is crystalline ScBe2Co2 at its relaxed geometry from Alexandria. Energies are from PBE.

```
data_ScBe2Co2
_chemical_formula_sum 'Sc2 Be4 Co4'
_symmetry_space_group_name_H-M 'P 1'
_symmetry_Int_Tables_number 1
_cell_length_a 6.456
_cell_length_b 6.456
_cell_length_c 2.673
_cell_angle_alpha 90.00
_cell_angle_beta 90.00
_cell_angle_gamma 90.00
loop_
_symmetry_equiv_pos_as_xyz
'x,y,z'
loop_
_atom_site_label
_atom_site_type_symbol
_atom_site_fract_x
_atom_site_fract_y
_atom_site_fract_z
Co1 Co 0.652 0.152 0.000
Co2 Co 0.848 0.652 0.000
Co3 Co 0.152 0.348 0.000
Co4 Co 0.348 0.848 0.000
Be1 Be 0.135 0.635 0.500
Be2 Be 0.635 0.865 0.500
Be3 Be 0.865 0.365 0.500
Be4 Be 0.365 0.135 0.500
Sc1 Sc 0.000 0.000 0.000
Sc2 Sc 0.500 0.500 0.000
```

Results
- calculated volume (Å³ per cell) = 111.4
- distance to the lowest polymorph of the same formula (meV per atom) = 64
- electronic total energy (eV per atom) = -5.783
- M_tot (μB per formula unit) = 0.00
- E_form (eV/atom) = -0.184

=====

# 2
Here is crystalline Sr2MnAs at its relaxed geometry from Alexandria. Energies are from PBE.

```
data_Sr2MnAs
_chemical_formula_sum 'Sr2 Mn1 As1'
_symmetry_space_group_name_H-M 'P 1'
_symmetry_Int_Tables_number 1
_cell_length_a 7.526
_cell_length_b 7.526
_cell_length_c 7.526
_cell_angle_alpha 147.90
_cell_angle_beta 144.75
_cell_angle_gamma 48.41
loop_
_symmetry_equiv_pos_as_xyz
'x,y,z'
loop_
_atom_site_label
_atom_site_type_symbol
_atom_site_fract_x
_atom_site_fract_y
_atom_site_fract_z
Sr1 Sr 0.004 0.004 0.000
Sr2 Sr 0.748 0.248 0.500
As1 As 0.427 0.427 0.000
Mn1 Mn 0.321 0.821 0.500
```

Results
- calculated volume (Å³ per cell) = 130.2
- electronic total energy (eV per atom) = -4.578
- M_tot (μB per formula unit) = 3.99
- E_form (eV/atom) = -0.282

=====

# 3
Here is crystalline Cs3Pm2PbSe6 at its relaxed geometry from Alexandria. Energies are from PBE.

```
data_Cs3Pm2PbSe6
_chemical_formula_sum 'Cs3 Pm2 Pb1 Se6'
_symmetry_space_group_name_H-M 'P 1'
_symmetry_Int_Tables_number 1
_cell_length_a 7.611
_cell_length_b 7.611
_cell_length_c 8.777
_cell_angle_alpha 98.29
_cell_angle_beta 98.29
_cell_angle_gamma 120.01
loop_
_symmetry_equiv_pos_as_xyz
'x,y,z'
loop_
_atom_site_label
_atom_site_type_symbol
_atom_site_fract_x
_atom_site_fract_y
_atom_site_fract_z
Cs1 Cs 0.835 0.165 0.500
Cs2 Cs 0.165 0.835 0.500
Cs3 Cs 0.500 0.500 0.500
Pb1 Pb 0.000 0.000 0.000
Se1 Se 0.936 0.597 0.809
Se2 Se 0.403 0.064 0.191
Se3 Se 0.597 0.936 0.809
Se4 Se 0.724 0.724 0.191
Se5 Se 0.064 0.403 0.191
Se6 Se 0.276 0.276 0.809
Pm1 Pm 0.333 0.667 0.000
Pm2 Pm 0.667 0.333 0.000
```

Results
- calculated volume (Å³ per cell) = 421.5
- electronic total energy (eV per atom) = -4.419
- M_tot (μB per formula unit) = 0.00
- energy relative to the elements, uncorrected (eV/atom) = -1.3627

=====

# 4
Here is crystalline Tb7Dy5 at its relaxed geometry from Alexandria. Energies are from PBE.

```
data_Tb7Dy5
_chemical_formula_sum 'Tb7 Dy5'
_symmetry_space_group_name_H-M 'P 1'
_symmetry_Int_Tables_number 1
_cell_length_a 3.557
_cell_length_b 9.418
_cell_length_c 12.037
_cell_angle_alpha 73.77
_cell_angle_beta 81.50
_cell_angle_gamma 79.11
loop_
_symmetry_equiv_pos_as_xyz
'x,y,z'
loop_
_atom_site_label
_atom_site_type_symbol
_atom_site_fract_x
_atom_site_fract_y
_atom_site_fract_z
Tb1 Tb 0.667 0.667 0.000
Tb2 Tb 0.639 0.972 0.750
Tb3 Tb 0.972 0.306 0.750
Tb4 Tb 0.333 0.333 0.000
Tb5 Tb 0.028 0.694 0.250
Tb6 Tb 0.361 0.028 0.250
Tb7 Tb 0.500 0.500 0.500
Dy1 Dy 0.000 0.000 0.000
Dy2 Dy 0.694 0.361 0.250
Dy3 Dy 0.306 0.639 0.750
Dy4 Dy 0.833 0.833 0.500
Dy5 Dy 0.167 0.167 0.500
```

Results
- calculated volume (Å³ per cell) = 378.3
- distance to the lowest polymorph of the same formula (meV per atom) = 0
- electronic total energy (eV per atom) = -4.616
- M_tot (μB per formula unit) = 0.00
- E_form (eV/atom) = 0.003

=====

# 5
Here is crystalline AlBiSeCl4 at its relaxed geometry from Alexandria. Energies are from PBE.

```
data_AlBiSeCl4
_chemical_formula_sum 'Al4 Bi4 Se4 Cl16'
_symmetry_space_group_name_H-M 'P 1'
_symmetry_Int_Tables_number 1
_cell_length_a 10.552
_cell_length_b 10.552
_cell_length_c 10.552
_cell_angle_alpha 107.08
_cell_angle_beta 107.08
_cell_angle_gamma 114.36
loop_
_symmetry_equiv_pos_as_xyz
'x,y,z'
loop_
_atom_site_label
_atom_site_type_symbol
_atom_site_fract_x
_atom_site_fract_y
_atom_site_fract_z
Cl1 Cl 0.437 0.428 0.584
Cl2 Cl 0.935 0.219 0.419
Cl3 Cl 0.800 0.515 0.581
Cl4 Cl 0.177 0.929 0.937
Cl5 Cl 0.992 0.240 0.063
Cl6 Cl 0.654 0.855 0.083
Cl7 Cl 0.147 0.563 0.992
Cl8 Cl 0.845 0.853 0.416
Cl9 Cl 0.572 0.155 0.008
Cl10 Cl 0.781 0.200 0.716
Cl11 Cl 0.071 0.008 0.248
Cl12 Cl 0.771 0.571 0.917
Cl13 Cl 0.429 0.346 0.200
Cl14 Cl 0.760 0.823 0.752
Cl15 Cl 0.485 0.065 0.284
Cl16 Cl 0.145 0.229 0.800
Bi1 Bi 0.217 0.812 0.291
Bi2 Bi 0.074 0.783 0.596
Bi3 Bi 0.521 0.926 0.709
Bi4 Bi 0.188 0.479 0.404
Al1 Al 0.870 0.978 0.284
Al2 Al 0.022 0.306 0.892
Al3 Al 0.694 0.586 0.716
Al4 Al 0.414 0.130 0.108
Se1 Se 0.975 0.567 0.302
Se2 Se 0.433 0.736 0.408
Se3 Se 0.264 0.673 0.698
Se4 Se 0.327 0.025 0.592
```

Results
- calculated volume (Å³ per cell) = 899.5
- electronic total energy (eV per atom) = -3.812
- M_tot (μB per formula unit) = 0.00
- energy relative to the elements, uncorrected (eV/atom) = -1.1700

=====

# 6
Here is crystalline KGaBi at its relaxed geometry from Alexandria. Energies are from PBE.

```
data_KGaBi
_chemical_formula_sum 'K2 Ga2 Bi2'
_symmetry_space_group_name_H-M 'P 1'
_symmetry_Int_Tables_number 1
_cell_length_a 5.299
_cell_length_b 5.493
_cell_length_c 7.533
_cell_angle_alpha 89.99
_cell_angle_beta 90.01
_cell_angle_gamma 90.01
loop_
_symmetry_equiv_pos_as_xyz
'x,y,z'
loop_
_atom_site_label
_atom_site_type_symbol
_atom_site_fract_x
_atom_site_fract_y
_atom_site_fract_z
K1 K 0.812 0.828 0.092
K2 K 0.312 0.328 0.082
Ga1 Ga 0.312 0.329 0.595
Ga2 Ga 0.812 0.829 0.578
Bi1 Bi 0.312 0.829 0.762
Bi2 Bi 0.812 0.329 0.412
```

Results
- calculated volume (Å³ per cell) = 219.3
- distance to the lowest polymorph of the same formula (meV per atom) = 128
- electronic total energy (eV per atom) = -2.815
- M_tot (μB per formula unit) = 0.00
- E_form (eV/atom) = -0.147

=====

# 7
Here is crystalline LiPa2I8 at its relaxed geometry from Alexandria. Energies are from PBE.

```
data_LiPa2I8
_chemical_formula_sum 'Li1 Pa2 I8'
_symmetry_space_group_name_H-M 'P 1'
_symmetry_Int_Tables_number 1
_cell_length_a 8.132
_cell_length_b 8.774
_cell_length_c 8.774
_cell_angle_alpha 75.07
_cell_angle_beta 70.33
_cell_angle_gamma 70.33
loop_
_symmetry_equiv_pos_as_xyz
'x,y,z'
loop_
_atom_site_label
_atom_site_type_symbol
_atom_site_fract_x
_atom_site_fract_y
_atom_site_fract_z
I1 I 0.181 0.317 0.317
I2 I 0.720 0.214 0.214
I3 I 0.763 0.761 0.150
I4 I 0.237 0.239 0.850
I5 I 0.819 0.683 0.683
I6 I 0.280 0.786 0.786
I7 I 0.237 0.850 0.239
I8 I 0.763 0.150 0.761
Pa1 Pa 0.474 0.101 0.101
Pa2 Pa 0.526 0.899 0.899
Li1 Li 0.000 0.000 0.000
```

Results
- calculated volume (Å³ per cell) = 547.7
- electronic total energy (eV per atom) = -3.914
- M_tot (μB per formula unit) = 1.01
- energy relative to the elements, uncorrected (eV/atom) = -0.8856

=====

# 8
Here is crystalline CsLa2PdO5 at its relaxed geometry from Alexandria. Energies are from PBE.

```
data_CsLa2PdO5
_chemical_formula_sum 'Cs2 La4 Pd2 O10'
_symmetry_space_group_name_H-M 'P 1'
_symmetry_Int_Tables_number 1
_cell_length_a 7.026
_cell_length_b 7.026
_cell_length_c 7.924
_cell_angle_alpha 116.31
_cell_angle_beta 116.31
_cell_angle_gamma 90.00
loop_
_symmetry_equiv_pos_as_xyz
'x,y,z'
loop_
_atom_site_label
_atom_site_type_symbol
_atom_site_fract_x
_atom_site_fract_y
_atom_site_fract_z
La1 La 0.321 0.821 0.000
La2 La 0.821 0.679 0.000
La3 La 0.179 0.321 0.000
La4 La 0.679 0.179 0.000
O1 O 0.754 0.254 0.762
O2 O 0.000 0.000 0.000
O3 O 0.500 0.500 0.000
O4 O 0.509 0.754 0.762
O5 O 0.746 0.991 0.238
O6 O 0.246 0.746 0.238
O7 O 0.254 0.009 0.762
O8 O 0.991 0.491 0.238
O9 O 0.009 0.509 0.762
O10 O 0.491 0.246 0.238
Pd1 Pd 0.250 0.750 0.500
Pd2 Pd 0.750 0.250 0.500
Cs1 Cs 0.250 0.250 0.500
Cs2 Cs 0.750 0.750 0.500
```

Results
- calculated volume (Å³ per cell) = 304.7
- electronic total energy (eV per atom) = -6.621
- M_tot (μB per formula unit) = 1.04
- energy relative to the elements, uncorrected (eV/atom) = -2.0994

=====

# 9
Here is crystalline KRbNp4N8 at its relaxed geometry from Alexandria. Energies are from PBE.

```
data_KRbNp4N8
_chemical_formula_sum 'K1 Rb1 Np4 N8'
_symmetry_space_group_name_H-M 'P 1'
_symmetry_Int_Tables_number 1
_cell_length_a 6.938
_cell_length_b 6.938
_cell_length_c 7.962
_cell_angle_alpha 64.17
_cell_angle_beta 64.17
_cell_angle_gamma 60.00
loop_
_symmetry_equiv_pos_as_xyz
'x,y,z'
loop_
_atom_site_label
_atom_site_type_symbol
_atom_site_fract_x
_atom_site_fract_y
_atom_site_fract_z
N1 N 0.794 0.303 0.599
N2 N 0.213 0.731 0.326
N3 N 0.731 0.731 0.326
N4 N 0.303 0.794 0.599
N5 N 0.303 0.303 0.599
N6 N 0.731 0.213 0.326
N7 N 0.799 0.799 0.603
N8 N 0.219 0.219 0.343
Np1 Np 0.521 0.521 0.438
Np2 Np 0.008 0.510 0.473
Np3 Np 0.008 0.008 0.473
Np4 Np 0.510 0.008 0.473
Rb1 Rb 0.354 0.354 0.938
K1 K 0.006 0.006 0.983
```

Results
- calculated volume (Å³ per cell) = 286.9
- electronic total energy (eV per atom) = -9.419
- M_tot (μB per formula unit) = 6.00
- energy relative to the elements, uncorrected (eV/atom) = -0.8167

=====

# 10
Here is crystalline Cs6Rb2NaHg at its relaxed geometry from Alexandria. Energies are from PBE.

```
data_Cs6Rb2NaHg
_chemical_formula_sum 'Cs12 Rb4 Na2 Hg2'
_symmetry_space_group_name_H-M 'P 1'
_symmetry_Int_Tables_number 1
_cell_length_a 9.212
_cell_length_b 12.677
_cell_length_c 15.051
_cell_angle_alpha 90.00
_cell_angle_beta 88.65
_cell_angle_gamma 90.00
loop_
_symmetry_equiv_pos_as_xyz
'x,y,z'
loop_
_atom_site_label
_atom_site_type_symbol
_atom_site_fract_x
_atom_site_fract_y
_atom_site_fract_z
Rb1 Rb 0.740 0.591 0.752
Rb2 Rb 0.240 0.909 0.252
Rb3 Rb 0.760 0.091 0.748
Rb4 Rb 0.260 0.409 0.248
Na1 Na 0.000 0.500 0.500
Na2 Na 0.500 0.000 0.000
Cs1 Cs 0.806 0.577 0.238
Cs2 Cs 0.896 0.815 0.982
Cs3 Cs 0.694 0.077 0.262
Cs4 Cs 0.104 0.185 0.018
Cs5 Cs 0.604 0.315 0.518
Cs6 Cs 0.133 0.165 0.486
Cs7 Cs 0.367 0.665 0.014
Cs8 Cs 0.396 0.685 0.482
Cs9 Cs 0.194 0.423 0.762
Cs10 Cs 0.306 0.923 0.738
Cs11 Cs 0.867 0.835 0.514
Cs12 Cs 0.633 0.335 0.986
Hg1 Hg 0.500 0.000 0.500
Hg2 Hg 0.000 0.500 0.000
```

Results
- calculated volume (Å³ per cell) = 1757.2
- electronic total energy (eV per atom) = -0.891
- M_tot (μB per formula unit) = 0.00
- E_form (eV/atom) = -0.023